No. 1
VASP calculation (PBE-GGA) on crystalline Rb3CrP at its relaxed geometry.

Computed properties:
E above lowest polymorph, meV per atom: 0.0
DFT total energy, eV per atom: -2.990

a b c (Å): 6.5857 6.5857 6.5857
angles (deg): 90.00 90.00 90.00
Last column: nearest neighbours and their distance in Å.
Sites, in units of the cell vectors:
1 Rb 0.0000 0.0000 0.5000  2 P 3.29
2 Rb 0.5000 0.0000 0.0000  2 P 3.29
3 Rb 0.0000 0.5000 0.0000  2 P 3.29
4 P 0.0000 0.0000 0.0000  6 Rb 3.29
5 Cr 0.5000 0.5000 0.5000  12 Rb 4.66


No. 2
VASP calculation (PBE-GGA) on crystalline AcDy2Hg6 at its relaxed geometry.

Computed properties:
DFT total energy, eV per atom: -2.068

a b c (Å): 3.8130 8.4872 8.7930
angles (deg): 118.86 102.54 90.00
Last column: nearest neighbours and their distance in Å.
Sites, in units of the cell vectors:
1 Dy 0.8564 0.3568 0.7136  10 Hg 3.09-3.36
2 Dy 0.1436 0.6432 0.2864  10 Hg 3.09-3.36
3 Hg 0.5000 0.6696 0.0000  3 Hg 2.88-2.93, 4 Dy 3.20-3.21
4 Hg 0.6770 0.9974 0.3536  4 Hg 2.93-3.14, 1 Dy 3.09
5 Hg 0.3230 0.6438 0.6464  4 Hg 2.93-3.14, 1 Dy 3.09
6 Hg 0.3230 0.0026 0.6464  4 Hg 2.93-3.14, 1 Dy 3.09
7 Hg 0.6770 0.3562 0.3536  4 Hg 2.93-3.14, 1 Dy 3.09
8 Hg 0.5000 0.3304 0.0000  3 Hg 2.88-2.93, 4 Dy 3.20-3.21
9 Ac 0.0000 0.0000 0.0000  12 Hg 3.39-3.59


No. 3
VASP calculation (PBE-GGA) on crystalline AlIn2Ag at its relaxed geometry.

Computed properties:
DFT total energy, eV per atom: -2.917

a b c (Å): 6.5702 6.5702 6.5702
angles (deg): 153.39 134.65 53.35
Last column: nearest neighbours and their distance in Å.
Sites, in units of the cell vectors:
1 Ag 0.4716 0.4716 0.0000  2 Al 2.73, 2 Ag 3.02, 4 In 3.03
2 Al 0.2783 0.7783 0.5000  2 Ag 2.73, 2 Al 3.02, 4 In 3.03
3 In 0.7187 0.2187 0.5000  4 In 3.02-3.35, 4 Al 3.03, 2 Ag 3.27
4 In 0.0314 0.0314 0.0000  4 In 3.02-3.35, 4 Ag 3.03, 2 Al 3.27


No. 4
VASP calculation (PBE-GGA) on crystalline ZnPSeBr2 at its relaxed geometry.

Computed properties:
E above lowest polymorph, meV per atom: 245.3
Uncorrected formation energy, eV per atom: 0.50
DFT total energy, eV per atom: -2.205

a b c (Å): 4.9616 4.9616 5.3526
angles (deg): 90.00 90.00 90.00
Last column: nearest neighbours and their distance in Å.
Sites, in units of the cell vectors:
1 Se 0.0000 0.0000 0.5000  2 Zn 2.68
2 P 0.5000 0.5000 0.5000  4 Se 3.51, 8 Br 3.65
3 Zn 0.0000 0.0000 0.0000  4 Br 2.48, 2 Se 2.68
4 Br 0.0000 0.5000 0.0000  2 Zn 2.48
5 Br 0.5000 0.0000 0.0000  2 Zn 2.48